## AcSiTe2 (PBE)

Data for an optimized crystal structure of AcSiTe2.

Its symmetry is R-3m (166). The value obtained for the formation energy (no corrections) is -0.489 eV per atom.

a = 4.2396 Å, b = 4.2396 Å, c = 8.3215 Å
α = 75.24°, β = 75.24°, γ = 60.00°
With the nearest neighbours (Å) after each atom.
Positions (direct):
Ac1 0.5000 0.5000 0.5000  6 Te 3.40
Te1 0.2657 0.2657 0.2030  3 Si 2.93
Te2 0.7343 0.7343 0.7970  3 Si 2.93
Si1 0.0000 0.0000 0.0000  6 Te 2.93

---

## GdAlGaAg (PBE)

Data for an optimized crystal structure of GdAlGaAg.

Its symmetry is F-43m (216).

a = 4.8584 Å, b = 4.8584 Å, c = 4.8584 Å
α = 60.00°, β = 60.00°, γ = 60.00°
With the nearest neighbours (Å) after each atom.
Positions (direct):
Gd1 0.0000 0.0000 0.0000  4 Ag 2.98, 4 Ga 2.98
Ga1 0.2500 0.2500 0.2500  4 Gd 2.98, 4 Al 2.98
Ag1 0.7500 0.7500 0.7500  4 Al 2.98, 4 Gd 2.98
Al1 0.5000 0.5000 0.5000  4 Ga 2.98, 4 Ag 2.98

---

Number 1: calculated total energy -4.4426 eV per atom. Number 2: calculated total energy -6.2577 eV per atom.